Li4InIr after structural relaxation. Source: Alexandria via LeMat-Bulk, functional PBE.

Results
Space group: F-43m, No. 216
Excess energy over the best structure of this formula in the dataset in eV per formula unit: 0.74
N(E_F) in states/eV per cell: 2.58
DFT total energy in eV/cell: -19.7
ΔH_f (0 K) in eV per atom: -0.0814

Cell lengths 4.913, 4.913, 4.913 Å; angles 60.00, 60.00, 60.00 degrees
Atoms (fractional coordinates):
Li: 0.378 0.378 0.378
Li: 0.378 0.378 0.867
Li: 0.378 0.867 0.378
Li: 0.867 0.378 0.378
In: 0.000 0.000 0.000
Ir: 0.750 0.750 0.750